1.
Entry from Alexandria via LeMat-Bulk: a relaxed structure of TeAsAu (GGA-PBE).

Computed properties:
Magnetization, μB per atom: 0.00
Energy relative to the elements, uncorrected, eV per atom: 0.00
Fermi-level density of states, states/eV per cell: 1.0

Unit cell a=4.4195 b=6.2238 c=6.2246 alpha=101.04 beta=104.45 gamma=110.01
Space group P1 (No. 1)
Symmetry-distinct sites (fractional):
Te  0.0000  0.0000  0.0000 (multiplicity 1)
Te  0.4615  0.1701  0.5275 (multiplicity 1)
As  0.9997  0.5295  0.5140 (multiplicity 1)
As  0.8673  0.4021  0.0651 (multiplicity 1)
Au  0.4140  0.6729  0.0220 (multiplicity 1)
Au  0.7222  0.8292  0.5085 (multiplicity 1)


2.
Entry from Alexandria via LeMat-Bulk: a relaxed structure of Te2As2Au (GGA-PBE).

Computed properties:
Magnetization, μB per atom: 0.00
Energy relative to the elements, uncorrected, eV per atom: 0.32
Fermi-level density of states, states/eV per cell: 7.6

Unit cell a=3.8343 b=3.8343 c=16.4421 alpha=90.00 beta=90.00 gamma=90.00
Space group I4/mmm (No. 139)
Symmetry-distinct sites (fractional):
Te  0.0000  0.0000  0.0923 (multiplicity 4)
As  0.0000  0.5000  0.2500 (multiplicity 4)
Au  0.0000  0.0000  0.5000 (multiplicity 2)


3.
Entry from Alexandria via LeMat-Bulk: a relaxed structure of Te2AsAu (GGA-PBE).

Computed properties:
Magnetization, μB per atom: 0.00
Energy relative to the elements, uncorrected, eV per atom: 0.38
Fermi-level density of states, states/eV per cell: 2.6

Unit cell a=3.5797 b=3.5797 c=7.3098 alpha=90.00 beta=90.00 gamma=90.00
Space group P4/mmm (No. 123)
Symmetry-distinct sites (fractional):
Te  0.0000  0.0000  0.2447 (multiplicity 2)
As  0.5000  0.5000  0.0000 (multiplicity 1)
Au  0.5000  0.5000  0.5000 (multiplicity 1)


4.
Entry from Alexandria via LeMat-Bulk: a relaxed structure of Te2AsAu (GGA-PBE).

Computed properties:
Magnetization, μB per atom: 0.00
Energy relative to the elements, uncorrected, eV per atom: 0.01
Fermi-level density of states, states/eV per cell: 1.8

Unit cell a=4.1800 b=4.1800 c=5.7524 alpha=90.00 beta=90.00 gamma=90.00
Space group P4mm (No. 99)
Symmetry-distinct sites (fractional):
Te  0.0000  0.0000  0.0000 (multiplicity 1)
Te  0.5000  0.5000  0.4992 (multiplicity 1)
As  0.5000  0.5000  0.0007 (multiplicity 1)
Au  0.0000  0.0000  0.5002 (multiplicity 1)


5.
Entry from Alexandria via LeMat-Bulk: a relaxed structure of Te2AsAu (GGA-PBE).

Computed properties:
Magnetization, μB per atom: 0.00
Energy relative to the elements, uncorrected, eV per atom: 0.31
Fermi-level density of states, states/eV per cell: 3.1

Unit cell a=3.1764 b=3.1764 c=10.2025 alpha=90.00 beta=90.00 gamma=90.00
Space group P4mm (No. 99)
Symmetry-distinct sites (fractional):
Te  0.0000  0.0000  0.0000 (multiplicity 1)
Te  0.5000  0.5000  0.3459 (multiplicity 1)
As  0.0000  0.0000  0.5929 (multiplicity 1)
Au  0.5000  0.5000  0.7481 (multiplicity 1)


6.
Entry from Alexandria via LeMat-Bulk: a relaxed structure of TeAsAu (GGA-PBE).

Computed properties:
Magnetization, μB per atom: 0.00
Energy relative to the elements, uncorrected, eV per atom: 0.29
Fermi-level density of states, states/eV per cell: 8.9

Unit cell a=6.7144 b=6.7144 c=6.7144 alpha=90.00 beta=90.00 gamma=90.00
Space group F-43m (No. 216)
Symmetry-distinct sites (fractional):
Te  0.0000  0.0000  0.0000 (multiplicity 4)
As  0.0000  0.0000  0.5000 (multiplicity 4)
Au  0.2500  0.2500  0.7500 (multiplicity 4)


7.
Entry from Alexandria via LeMat-Bulk: a relaxed structure of Te2AsAu (GGA-PBE).

Computed properties:
Magnetization, μB per atom: 0.00
Energy relative to the elements, uncorrected, eV per atom: 0.00
Fermi-level density of states, states/eV per cell: 3.8

Unit cell a=7.2493 b=4.2231 c=7.0424 alpha=90.00 beta=110.22 gamma=90.00
Space group C2/m (No. 12)
Symmetry-distinct sites (fractional):
Te  0.2492  0.0000  0.2462 (multiplicity 4)
As  0.0000  0.0000  0.5000 (multiplicity 2)
Au  0.0000  0.5000  0.0000 (multiplicity 2)


8.
Entry from Alexandria via LeMat-Bulk: a relaxed structure of TeAs2Au (GGA-PBE).

Computed properties:
Magnetization, μB per atom: 0.00
Energy relative to the elements, uncorrected, eV per atom: 0.08
Fermi-level density of states, states/eV per cell: 4.4

Unit cell a=4.0542 b=4.0542 c=19.1302 alpha=90.00 beta=90.00 gamma=120.00
Space group R-3m (No. 166, hexagonal axes)
Symmetry-distinct sites (fractional):
Te  0.0000  0.0000  0.0000 (multiplicity 3)
As  0.0000  0.0000  0.2367 (multiplicity 6)
Au  0.0000  0.0000  0.5000 (multiplicity 3)


9.
Entry from Alexandria via LeMat-Bulk: a relaxed structure of TeAsAu (GGA-PBE).

Computed properties:
Magnetization, μB per atom: 0.00
Energy relative to the elements, uncorrected, eV per atom: -0.01
Fermi-level density of states, states/eV per cell: 4.5

Unit cell a=8.1747 b=6.2421 c=6.5166 alpha=90.00 beta=111.51 gamma=90.00
Space group Cm (No. 8)
Symmetry-distinct sites (fractional):
Te  0.0000  0.2461  0.0000 (multiplicity 4)
As  0.3187  0.2995  0.4310 (multiplicity 4)
Au  0.1521  0.2511  0.6895 (multiplicity 4)


10.
Entry from Alexandria via LeMat-Bulk: a relaxed structure of TeAsAu4 (GGA-PBE).

Computed properties:
Magnetization, μB per atom: 0.00
Energy relative to the elements, uncorrected, eV per atom: 0.26
Fermi-level density of states, states/eV per cell: 11.1

Unit cell a=7.9243 b=7.9243 c=7.9243 alpha=90.00 beta=90.00 gamma=90.00
Space group F-43m (No. 216)
Symmetry-distinct sites (fractional):
Te  0.0000  0.0000  0.0000 (multiplicity 4)
As  0.2500  0.2500  0.7500 (multiplicity 4)
Au  0.1248  0.1248  0.3752 (multiplicity 16)


11.
Entry from Alexandria via LeMat-Bulk: a relaxed structure of Te2AsAu (GGA-PBE).

Computed properties:
Magnetization, μB per atom: 0.00
Energy relative to the elements, uncorrected, eV per atom: 0.28
Fermi-level density of states, states/eV per cell: 4.8

Unit cell a=3.7275 b=5.4697 c=9.9441 alpha=90.00 beta=90.00 gamma=90.00
Space group Cmm2 (No. 35)
Symmetry-distinct sites (fractional):
Te  0.0000  0.0000  0.0000 (multiplicity 2)
Te  0.0000  0.5000  0.3467 (multiplicity 2)
As  0.0000  0.5000  0.7522 (multiplicity 2)
Au  0.0000  0.0000  0.5678 (multiplicity 2)


12.
Entry from Alexandria via LeMat-Bulk: a relaxed structure of Te3As5Au12 (GGA-PBE).

Computed properties:
Magnetization, μB per atom: 0.00
Energy relative to the elements, uncorrected, eV per atom: 0.15
Fermi-level density of states, states/eV per cell: 55.8

Unit cell a=15.6856 b=15.6856 c=15.6856 alpha=90.00 beta=90.00 gamma=90.00
Space group Ia-3d (No. 230)
Symmetry-distinct sites (fractional):
Te  0.0000  0.2500  0.1250 (multiplicity 24)
As  0.0000  0.0000  0.0000 (multiplicity 16)
As  0.0000  0.2500  0.3750 (multiplicity 24)
Au  0.0212  0.0702  0.6504 (multiplicity 96)


> Number 9 is which compound?

TeAsAu


> Number 5 is which compound?

Te2AsAu